<i>
Entry from the Alexandria database: TiNb2Ni after structural relaxation (PBE).

Cell: 4.404 3.833 3.833 Å, 90.00 90.00 90.00°
Fractional coordinates of all 4 atoms:
Ni1 0.500 0.000 0.000
Nb1 0.000 0.000 0.500
Nb2 0.000 0.500 0.000
Ti1 0.500 0.500 0.500

***

<ii>
Entry from the Alexandria database: TiNb2Ni after structural relaxation (PBE).

Cell: 7.270 7.270 5.753 Å, 50.81 50.81 90.00°
Fractional coordinates of all 8 atoms:
Ni1 0.000 0.000 0.000
Ni2 0.750 0.250 0.500
Nb1 0.656 0.125 0.250
Nb2 0.094 0.625 0.250
Nb3 0.375 0.344 0.750
Nb4 0.875 0.906 0.750
Ti1 0.500 0.500 0.000
Ti2 0.250 0.750 0.500

***

Preferred: <i>; penalty for the next structure: 280 meV/atom.

***

<i>
Entry from the Alexandria database: TiNb2Ni after structural relaxation (PBE).

Cell: 3.213 3.213 6.196 Å, 90.00 90.00 90.00°
Fractional coordinates of all 4 atoms:
Ni1 0.500 0.500 0.000
Nb1 0.000 0.000 0.759
Nb2 0.000 0.000 0.241
Ti1 0.500 0.500 0.500

***

<ii>
Entry from the Alexandria database: TiNb2Ni after structural relaxation (PBE).

Cell: 4.477 4.477 4.477 Å, 60.00 60.00 60.00°
Fractional coordinates of all 4 atoms:
Ni1 0.500 0.500 0.500
Nb1 0.250 0.250 0.250
Nb2 0.750 0.750 0.750
Ti1 0.000 0.000 0.000

***

Preferred: <i>; penalty for the next structure: 67 meV/atom.

***

<i>
Entry from the Alexandria database: Ti2NbNi after structural relaxation (PBE).

Cell: 2.870 4.391 10.184 Å, 90.00 100.47 90.00°
Fractional coordinates of all 8 atoms:
Ti1 0.105 0.750 0.697
Ti2 0.895 0.250 0.303
Ti3 0.132 0.750 0.140
Ti4 0.868 0.250 0.860
Nb1 0.411 0.250 0.574
Nb2 0.589 0.750 0.426
Ni1 0.520 0.250 0.069
Ni2 0.480 0.750 0.931

***

<ii>
Entry from the Alexandria database: Ti2NbNi after structural relaxation (PBE).

Cell: 4.424 4.424 4.424 Å, 60.00 60.00 60.00°
Fractional coordinates of all 4 atoms:
Ni1 0.000 0.000 0.000
Nb1 0.500 0.500 0.500
Ti1 0.250 0.250 0.250
Ti2 0.750 0.750 0.750

***

Preferred: <i>; penalty for the next structure: 32 meV/atom.

***

<i>
Entry from the Alexandria database: Ti3NbNi2 after structural relaxation (PBE).

Cell: 3.116 3.116 9.230 Å, 90.00 90.00 90.00°
Fractional coordinates of all 6 atoms:
Ti1 0.000 0.000 0.000
Ti2 0.000 0.000 0.684
Ti3 0.000 0.000 0.316
Nb1 0.500 0.500 0.500
Ni1 0.500 0.500 0.850
Ni2 0.500 0.500 0.150

***

<ii>
Entry from the Alexandria database: Ti3NbNi2 after structural relaxation (PBE).

Cell: 4.342 4.342 11.083 Å, 90.00 90.00 120.00°
Fractional coordinates of all 12 atoms:
Ti1 0.000 0.000 0.500
Ti2 0.000 0.000 0.000
Ti3 0.667 0.333 0.600
Ti4 0.333 0.667 0.100
Ti5 0.667 0.333 0.900
Ti6 0.333 0.667 0.400
Nb1 0.000 0.000 0.250
Nb2 0.000 0.000 0.750
Ni1 0.667 0.333 0.365
Ni2 0.333 0.667 0.635
Ni3 0.333 0.667 0.865
Ni4 0.667 0.333 0.135

***

Preferred: <i>; penalty for the next structure: 122 meV/atom.

***

<i>
Entry from the Alexandria database: NbVNi after structural relaxation (PBE).

Cell: 2.677 12.014 3.489 Å, 90.00 130.59 90.00°
Fractional coordinates of all 6 atoms:
Ni1 0.000 0.212 0.000
Ni2 0.000 0.712 0.500
Nb1 0.000 0.882 0.000
Nb2 0.000 0.382 0.500
V1 0.000 0.566 0.000
V2 0.000 0.066 0.500

***

<ii>
Entry from the Alexandria database: NbVNi after structural relaxation (PBE).

Cell: 2.572 4.411 4.411 Å, 120.00 90.00 90.00°
Fractional coordinates of all 3 atoms:
Ni1 0.185 0.667 0.333
Nb1 0.668 0.333 0.667
V1 0.146 0.000 0.000

***

<iii>
Entry from the Alexandria database: NbVNi after structural relaxation (PBE).

Cell: 5.026 4.329 8.350 Å, 90.00 107.49 90.00°
Fractional coordinates of all 12 atoms:
Ni1 0.630 0.000 0.468
Ni2 0.630 0.500 0.968
Ni3 0.601 0.000 0.784
Ni4 0.601 0.500 0.284
Nb1 0.136 0.000 0.869
Nb2 0.136 0.500 0.369
Nb3 0.739 0.000 0.138
Nb4 0.739 0.500 0.638
V1 0.146 0.000 0.534
V2 0.146 0.500 0.034
V3 0.266 0.000 0.212
V4 0.266 0.500 0.712

***

Preferred: <i>; penalty for the next structure: 99 meV/atom.